1) RbTaSi3 | PBE | relaxed

Output
The calculation puts the total magnetization at 0.0 Bohr magnetons per cell. The calculation puts the calculated density at 4.81 g cm⁻³.

a b c (Å): 4.9477 4.9477 4.9477
angles (deg): 90.00 90.00 90.00
With the nearest neighbours (Å) after each atom.
Positions (direct):
Rb (0.0000, 0.0000, 0.0000)  6 Si 2.47
Ta (0.5000, 0.5000, 0.5000)  12 Si 3.50
Si (0.0000, 0.0000, 0.5000)  2 Rb 2.47
Si (0.0000, 0.5000, 0.0000)  2 Rb 2.47
Si (0.5000, 0.0000, 0.0000)  2 Rb 2.47

---

2) RbTaSi3 | PBE | relaxed

Output
The calculation puts the total magnetization at 0.0 Bohr magnetons per cell. The calculation puts the calculated density at 4.66 g cm⁻³.

a b c (Å): 5.0008 5.0008 5.0008
angles (deg): 90.00 90.00 90.00
With the nearest neighbours (Å) after each atom.
Positions (direct):
Rb (0.0000, 0.0000, 0.0000)  12 Si 3.54
Ta (0.5000, 0.5000, 0.5000)  6 Si 2.50
Si (0.0000, 0.5000, 0.5000)  2 Ta 2.50
Si (0.5000, 0.0000, 0.5000)  2 Ta 2.50
Si (0.5000, 0.5000, 0.0000)  2 Ta 2.50

---

Question: which arrangement is favored energetically? Ranking from most to least stable: 2), 1).